Record 1
A plane-wave DFT calculation with PBE-GGA was carried out for an optimized crystal structure of AcBi2Se4.

Properties
V   860.7 Å³ per cell
Uncorrected formation energy   -0.876 eV/atom

Lattice parameters (Å, degrees): 4.560 13.509 13.972 90.00 90.00 90.00
Space group Cmcm (No. 63)
Asymmetric unit:
Ac (0.000, 0.122, 0.250) x4
Bi (0.000, 0.374, 0.060) x8
Se (0.000, 0.000, 0.000) x4
Se (0.000, 0.269, 0.620) x8
Se (0.000, 0.468, 0.250) x4

---

Record 2
A plane-wave DFT calculation with PBE-GGA was carried out for an optimized crystal structure of LaY.

Properties
Energy of formation   8.3 meV per atom
V   1094.3 Å³ per cell
Energy relative to the lowest polymorph listed for this composition   0.01 eV/f.u.

Lattice parameters (Å, degrees): 10.305 10.305 10.305 90.00 90.00 90.00
Space group Fd-3m (No. 227, origin choice 2)
Asymmetric unit:
La (0.000, 0.000, 0.000) x16
Y (0.000, 0.000, 0.500) x16

---

Record 3
A plane-wave DFT calculation with PBE-GGA was carried out for an optimized crystal structure of Sm2DyBi3.

Properties
Energy of formation   -901.7 meV per atom
V   394.8 Å³ per cell

Lattice parameters (Å, degrees): 4.532 6.406 13.596 90.00 90.00 90.00
Space group Immm (No. 71)
Asymmetric unit:
Sm (0.000, 0.000, 0.168) x4
Dy (0.000, 0.000, 0.500) x2
Bi (0.000, 0.500, 0.164) x4
Bi (0.000, 0.500, 0.500) x2

---

Question: What is the V in the third record?
Answer: 394.8 Å³ per cell